No. 1
A relaxed structure of PrPuSnHg, computed with GGA-PBE.

Structure (POSCAR):
```
PrPuSnHg
1.0
3.526 0.000 0.000
0.000 3.526 0.000
0.000 0.000 8.834
Pr Pu Sn Hg
1 1 1 1
Direct
0.000 0.000 0.000 Pr
0.000 0.000 0.501 Pu
0.500 0.500 0.255 Sn
0.500 0.500 0.746 Hg
```

Results
E_tot: -24.99 eV for the cell shown
M_tot: 5.866 μB per formula unit
E above lowest polymorph: 0.005 eV per atom

No. 2
A relaxed structure of PrPuTlHg, computed with GGA-PBE.

Structure (POSCAR):
```
PrPuTlHg
1.0
0.000 3.857 3.857
3.857 0.000 3.857
3.857 3.857 0.000
Pr Pu Tl Hg
1 1 1 1
Direct
0.000 0.000 0.000 Pr
0.500 0.500 0.500 Pu
0.250 0.250 0.250 Tl
0.750 0.750 0.750 Hg
```

Results
E_tot: -22.66 eV for the cell shown
M_tot: 6.547 μB per formula unit

No. 3
A relaxed structure of RbPrHg6, computed with GGA-PBE.

Structure (POSCAR):
```
RbPrHg6
1.0
5.352 0.000 0.000
0.000 7.357 0.000
0.000 0.000 5.866
Rb Pr Hg
1 1 6
Direct
0.000 0.000 0.000 Rb
0.500 0.500 0.307 Pr
0.000 0.273 0.489 Hg
0.000 0.500 0.981 Hg
0.000 0.727 0.489 Hg
0.500 0.000 0.423 Hg
0.500 0.280 0.825 Hg
0.500 0.720 0.825 Hg
```

Results
E_tot: -9.49 eV for the cell shown
M_tot: 0.000 μB per formula unit

No. 4
A relaxed structure of RbPr2HgSe4, computed with GGA-PBE.

Structure (POSCAR):
```
RbPr2HgSe4
1.0
2.230 -7.359 0.000
2.230 7.359 0.000
0.000 0.000 15.372
Rb Pr Hg Se
2 4 2 8
Direct
0.125 0.875 0.750 Rb
0.875 0.125 0.250 Rb
0.374 0.626 0.559 Pr
0.374 0.626 0.941 Pr
0.626 0.374 0.059 Pr
0.626 0.374 0.441 Pr
0.154 0.846 0.250 Hg
0.846 0.154 0.750 Hg
0.000 0.000 0.000 Se
0.000 0.000 0.500 Se
0.263 0.737 0.104 Se
0.263 0.737 0.396 Se
0.448 0.552 0.750 Se
0.552 0.448 0.250 Se
0.737 0.263 0.604 Se
0.737 0.263 0.896 Se
```

Results
formation energy without anion corrections: -1.3301 eV per atom
E_tot: -70.82 eV for the cell shown
M_tot: 0.000 μB per formula unit

No. 5
A relaxed structure of RbPrHgSe3, computed with GGA-PBE.

Structure (POSCAR):
```
RbPrHgSe3
1.0
9.284 0.000 0.000
0.000 4.408 0.000
-3.107 0.000 10.028
Rb Pr Hg Se
2 2 2 6
Direct
0.217 0.250 0.244 Rb
0.783 0.750 0.756 Rb
0.325 0.750 0.862 Pr
0.675 0.250 0.138 Pr
0.092 0.250 0.616 Hg
0.908 0.750 0.384 Hg
0.101 0.250 0.870 Se
0.223 0.750 0.541 Se
0.463 0.750 0.152 Se
0.537 0.250 0.848 Se
0.777 0.250 0.459 Se
0.899 0.750 0.130 Se
```

Results
formation energy without anion corrections: -1.1957 eV per atom
E_tot: -47.35 eV for the cell shown
M_tot: 0.000 μB per formula unit

No. 6
A relaxed structure of Rb2PrHg2Se4, computed with GGA-PBE.

Structure (POSCAR):
```
Rb2PrHg2Se4
1.0
8.425 -2.167 0.000
8.425 2.167 0.000
-3.348 0.000 7.939
Rb Pr Hg Se
2 1 2 4
Direct
0.127 0.127 0.067 Rb
0.873 0.873 0.933 Rb
0.000 0.000 0.500 Pr
0.311 0.311 0.481 Hg
0.689 0.689 0.519 Hg
0.190 0.190 0.725 Se
0.476 0.476 0.724 Se
0.524 0.524 0.276 Se
0.810 0.810 0.275 Se
```

Results
formation energy without anion corrections: -0.9727 eV per atom
E_tot: -30.01 eV for the cell shown
M_tot: 0.000 μB per formula unit

No. 7
A relaxed structure of RbPrHgTe3, computed with GGA-PBE.

Structure (POSCAR):
```
RbPrHgTe3
1.0
9.778 0.000 0.000
0.000 4.646 0.000
-3.389 0.000 10.564
Rb Pr Hg Te
2 2 2 6
Direct
0.224 0.250 0.256 Rb
0.776 0.750 0.744 Rb
0.320 0.750 0.863 Pr
0.680 0.250 0.137 Pr
0.091 0.250 0.620 Hg
0.909 0.750 0.380 Hg
0.091 0.250 0.874 Te
0.225 0.750 0.544 Te
0.465 0.750 0.159 Te
0.535 0.250 0.841 Te
0.775 0.250 0.456 Te
0.909 0.750 0.126 Te
```

Results
formation energy without anion corrections: -0.9720 eV per atom
E_tot: -42.61 eV for the cell shown
M_tot: 0.000 μB per formula unit

No. 8
A relaxed structure of Pr8Hg2Rh, computed with GGA-PBE.

Structure (POSCAR):
```
Pr8Hg2Rh
1.0
4.028 -8.263 0.000
4.028 8.263 0.000
-3.699 0.000 5.333
Pr Hg Rh
8 2 1
Direct
0.000 0.000 0.000 Pr
0.082 0.473 0.153 Pr
0.114 0.883 0.484 Pr
0.428 0.654 0.844 Pr
0.473 0.082 0.153 Pr
0.548 0.548 0.374 Pr
0.654 0.428 0.844 Pr
0.883 0.114 0.484 Pr
0.555 0.987 0.663 Hg
0.987 0.555 0.663 Hg
0.268 0.268 0.858 Rh
```

Results
E_tot: -48.89 eV for the cell shown
M_tot: 0.000 μB per formula unit
E above lowest polymorph: 0.030 eV per atom

No. 9
A relaxed structure of PrHgRh2, computed with GGA-PBE.

Structure (POSCAR):
```
PrHgRh2
1.0
4.497 0.000 0.000
0.000 4.497 0.000
0.000 0.000 3.835
Pr Hg Rh
1 1 2
Direct
0.000 0.000 0.000 Pr
0.500 0.500 0.000 Hg
0.000 0.500 0.500 Rh
0.500 0.000 0.500 Rh
```

Results
E_tot: -21.42 eV for the cell shown
M_tot: 0.000 μB per formula unit

No. 10
A relaxed structure of Pr3HgRh, computed with GGA-PBE.

Structure (POSCAR):
```
Pr3HgRh
1.0
7.526 0.000 0.000
0.000 5.026 0.000
0.000 0.000 15.336
Pr Hg Rh
12 4 4
Direct
0.009 0.250 0.103 Pr
0.133 0.750 0.456 Pr
0.187 0.250 0.721 Pr
0.313 0.750 0.221 Pr
0.367 0.250 0.956 Pr
0.491 0.750 0.603 Pr
0.509 0.250 0.397 Pr
0.633 0.750 0.044 Pr
0.687 0.250 0.779 Pr
0.813 0.750 0.279 Pr
0.867 0.250 0.544 Pr
0.991 0.750 0.897 Pr
0.094 0.250 0.318 Hg
0.406 0.750 0.818 Hg
0.594 0.250 0.182 Hg
0.906 0.750 0.682 Hg
0.223 0.750 0.045 Rh
0.277 0.250 0.545 Rh
0.723 0.750 0.455 Rh
0.777 0.250 0.955 Rh
```

Results
E_tot: -97.46 eV for the cell shown
M_tot: 0.000 μB per formula unit
E above lowest polymorph: 0.000 eV per atom

No. 11
A relaxed structure of PrHgRh2, computed with GGA-PBE.

Structure (POSCAR):
```
PrHgRh2
1.0
3.511 0.000 0.000
0.000 3.511 0.000
0.000 0.000 6.435
Pr Hg Rh
1 1 2
Direct
0.000 0.000 0.000 Pr
0.000 0.000 0.500 Hg
0.500 0.500 0.269 Rh
0.500 0.500 0.731 Rh
```

Results
E_tot: -20.82 eV for the cell shown
M_tot: 0.000 μB per formula unit

No. 12
A relaxed structure of Pr6Hg3Rh, computed with GGA-PBE.

Structure (POSCAR):
```
Pr6Hg3Rh
1.0
5.655 -7.229 0.000
5.655 7.229 0.000
0.000 0.000 8.057
Pr Hg Rh
12 6 2
Direct
0.004 0.996 0.500 Pr
0.086 0.585 0.938 Pr
0.264 0.736 0.506 Pr
0.310 0.347 0.453 Pr
0.347 0.310 0.953 Pr
0.415 0.914 0.938 Pr
0.585 0.086 0.438 Pr
0.653 0.690 0.453 Pr
0.690 0.653 0.953 Pr
0.736 0.264 0.006 Pr
0.914 0.415 0.438 Pr
0.996 0.004 0.000 Pr
0.049 0.280 0.745 Hg
0.280 0.049 0.245 Hg
0.391 0.609 0.171 Hg
0.609 0.391 0.671 Hg
0.720 0.951 0.745 Hg
0.951 0.720 0.245 Hg
0.141 0.859 0.765 Rh
0.859 0.141 0.265 Rh
```

Results
E_tot: -78.37 eV for the cell shown
M_tot: 0.000 μB per formula unit

No. 13
A relaxed structure of Pr6HgRh2, computed with GGA-PBE.

Structure (POSCAR):
```
Pr6HgRh2
1.0
-4.824 5.075 5.370
4.824 -5.075 5.370
4.824 5.075 -5.370
Pr Hg Rh
12 2 4
Direct
0.032 0.232 0.800 Pr
0.178 0.291 0.469 Pr
0.178 0.709 0.887 Pr
0.330 0.024 0.694 Pr
0.330 0.636 0.306 Pr
0.432 0.232 0.200 Pr
0.568 0.768 0.800 Pr
0.670 0.364 0.694 Pr
0.670 0.976 0.306 Pr
0.822 0.291 0.113 Pr
0.822 0.709 0.531 Pr
0.968 0.768 0.200 Pr
0.000 0.000 0.000 Hg
0.500 0.500 0.000 Hg
0.133 0.633 0.500 Rh
0.339 0.000 0.339 Rh
0.661 0.000 0.661 Rh
0.867 0.367 0.500 Rh
```

Results
E_tot: -95.46 eV for the cell shown
M_tot: 0.000 μB per formula unit
E above lowest polymorph: 0.000 eV per atom

No. 14
A relaxed structure of Pr6HgRh3, computed with GGA-PBE.

Structure (POSCAR):
```
Pr6HgRh3
1.0
12.211 0.000 0.000
0.000 4.216 0.000
-3.930 0.000 11.593
Pr Hg Rh
12 2 6
Direct
0.031 0.250 0.392 Pr
0.111 0.250 0.949 Pr
0.211 0.750 0.262 Pr
0.284 0.750 0.765 Pr
0.358 0.250 0.537 Pr
0.432 0.750 0.096 Pr
0.568 0.250 0.904 Pr
0.642 0.750 0.463 Pr
0.716 0.250 0.235 Pr
0.789 0.250 0.738 Pr
0.889 0.750 0.051 Pr
0.969 0.750 0.608 Pr
0.446 0.250 0.305 Hg
0.554 0.750 0.695 Hg
0.047 0.250 0.164 Rh
0.186 0.750 0.503 Rh
0.343 0.250 0.927 Rh
0.657 0.750 0.073 Rh
0.814 0.250 0.497 Rh
0.953 0.750 0.836 Rh
```

Results
E_tot: -112.18 eV for the cell shown
M_tot: 0.000 μB per formula unit
E above lowest polymorph: 0.000 eV per atom

No. 15
A relaxed structure of Pr2HgRh, computed with GGA-PBE.

Structure (POSCAR):
```
Pr2HgRh
1.0
1.979 -7.376 0.000
1.979 7.376 0.000
0.000 0.000 7.518
Pr Hg Rh
4 2 2
Direct
0.138 0.862 0.501 Pr
0.138 0.862 0.999 Pr
0.862 0.138 0.001 Pr
0.862 0.138 0.499 Pr
0.496 0.504 0.250 Hg
0.504 0.496 0.750 Hg
0.293 0.707 0.250 Rh
0.707 0.293 0.750 Rh
```

Results
E_tot: -38.92 eV for the cell shown
M_tot: 0.000 μB per formula unit
E above lowest polymorph: 0.000 eV per atom

No. 16
A relaxed structure of Pr2HgRh, computed with GGA-PBE.

Structure (POSCAR):
```
Pr2HgRh
1.0
0.000 3.718 3.718
3.718 0.000 3.718
3.718 3.718 0.000
Pr Hg Rh
2 1 1
Direct
0.250 0.250 0.250 Pr
0.750 0.750 0.750 Pr
0.000 0.000 0.000 Hg
0.500 0.500 0.500 Rh
```

Results
E_tot: -19.14 eV for the cell shown
M_tot: 0.000 μB per formula unit
E above lowest polymorph: 0.080 eV per atom

No. 17
A relaxed structure of Pr2HgRh, computed with GGA-PBE.

Structure (POSCAR):
```
Pr2HgRh
1.0
2.095 1.210 7.726
-2.095 1.210 7.726
0.000 -2.420 7.726
Pr Hg Rh
2 1 1
Direct
0.000 0.000 0.000 Pr
0.199 0.199 0.199 Pr
0.433 0.433 0.433 Hg
0.598 0.598 0.598 Rh
```

Results
E_tot: -19.30 eV for the cell shown
M_tot: 0.000 μB per formula unit
E above lowest polymorph: 0.041 eV per atom

No. 18
A relaxed structure of Pr4Hg2Rh, computed with GGA-PBE.

Structure (POSCAR):
```
Pr4Hg2Rh
1.0
5.631 -2.383 0.000
5.631 2.383 0.000
-4.255 0.000 7.734
Pr Hg Rh
4 2 1
Direct
0.076 0.076 0.353 Pr
0.327 0.327 0.932 Pr
0.673 0.673 0.068 Pr
0.924 0.924 0.647 Pr
0.360 0.360 0.333 Hg
0.640 0.640 0.667 Hg
0.000 0.000 0.000 Rh
```

Results
E_tot: -30.20 eV for the cell shown
M_tot: 0.000 μB per formula unit
E above lowest polymorph: 0.000 eV per atom

No. 19
A relaxed structure of PrHgRh, computed with GGA-PBE.

Structure (POSCAR):
```
PrHgRh
1.0
5.260 -2.141 0.000
5.260 2.141 0.000
-4.151 0.000 6.219
Pr Hg Rh
2 2 2
Direct
0.068 0.068 0.325 Pr
0.932 0.932 0.675 Pr
0.327 0.327 0.921 Hg
0.673 0.673 0.079 Hg
0.355 0.355 0.336 Rh
0.645 0.645 0.664 Rh
```

Results
E_tot: -28.04 eV for the cell shown
M_tot: 0.000 μB per formula unit

No. 20
A relaxed structure of Pr6HgRh2, computed with GGA-PBE.

Structure (POSCAR):
```
Pr6HgRh2
1.0
5.232 -2.630 0.000
5.232 2.630 0.000
-1.726 0.000 9.205
Pr Hg Rh
6 1 2
Direct
0.037 0.037 0.345 Pr
0.292 0.292 0.667 Pr
0.341 0.341 0.108 Pr
0.659 0.659 0.892 Pr
0.708 0.708 0.333 Pr
0.963 0.963 0.655 Pr
0.000 0.000 0.000 Hg
0.379 0.379 0.400 Rh
0.621 0.621 0.600 Rh
```

Results
E_tot: -47.09 eV for the cell shown
M_tot: 0.000 μB per formula unit
E above lowest polymorph: 0.071 eV per atom